No. 1
Compound: KP
Source: Alexandria
Functional: PBE
Structure: relaxed

POSCAR file:
```
KP
1.0
11.704 0.000 0.000
-5.852 10.136 0.000
0.000 0.000 4.049
P K
6 6
Direct
0.464 0.513 0.250
0.049 0.536 0.250
0.487 0.951 0.250
0.951 0.464 0.750
0.536 0.487 0.750
0.513 0.049 0.750
0.436 0.219 0.250
0.783 0.564 0.250
0.564 0.781 0.750
0.781 0.217 0.250
0.217 0.436 0.750
0.219 0.783 0.750
```

volume	480.3	Å³/cell
spin magnetization	0.1	μB per formula unit
ΔH_f (0 K)	-262.1	meV per atom
polymorph energy (0 for the lowest one)	0.157	eV per atom
Fermi-level density of states	1.14	states/eV/f.u.

---

No. 2
Compound: K2P
Source: Alexandria
Functional: PBE
Structure: relaxed

POSCAR file:
```
K2P
1.0
-3.095 -2.608 5.051
-0.087 3.088 5.687
-5.493 2.660 2.154
K P
4 2
Direct
0.125 0.625 0.125
0.625 0.125 0.125
0.125 0.125 0.625
0.125 0.125 0.125
0.750 0.750 0.750
0.500 0.500 0.500
```

volume	191.7	Å³/cell
spin magnetization	1.1	μB per formula unit
ΔH_f (0 K)	564.0	meV per atom
polymorph energy (0 for the lowest one)	0.812	eV per atom
Fermi-level density of states	1.40	states/eV/f.u.

---

No. 3
Compound: KP
Source: Alexandria
Functional: PBE
Structure: relaxed

POSCAR file:
```
KP
1.0
-1.391 -4.210 -2.638
-0.293 -4.186 3.002
-4.876 -1.390 0.955
K P
2 2
Direct
0.654 0.654 0.654
0.346 0.346 0.346
0.913 0.913 0.913
0.087 0.087 0.087
```

volume	113.0	Å³/cell
spin magnetization	0.0	μB per formula unit
ΔH_f (0 K)	-210.4	meV per atom
polymorph energy (0 for the lowest one)	0.209	eV per atom
Fermi-level density of states	0.25	states/eV/f.u.